(1)
Entry from OQMD via LeMat-Bulk: a geometry-optimized Ta2TlTc structure (PBE).

POSCAR file:
```
Ta2TlTc
1.0
0.0000 3.3084 3.3084
3.3084 0.0000 3.3084
3.3084 3.3084 0.0000
Ta Tl Tc
2 1 1
direct
0.0000 0.0000 0.0000
0.2500 0.2500 0.2500
0.5000 0.5000 0.5000
0.7500 0.7500 0.7500
```

Results
* calculated total energy: -34.7 eV per formula unit
* symmetry: F-43m
* magnetization: 1.21 μB/f.u.

---

(2)
Entry from OQMD via LeMat-Bulk: a geometry-optimized Cs2CuBr4 structure (PBE).

POSCAR file:
```
Cs2CuBr4
1.0
10.4119 0.0000 0.0000
0.0000 7.9216 0.0000
0.0000 0.0000 13.0865
Cs Cu Br
8 4 16
direct
0.0070 0.2500 0.1637
0.1252 0.2500 0.6045
0.3748 0.7500 0.1045
0.4930 0.7500 0.6637
0.5070 0.2500 0.3363
0.6252 0.2500 0.8955
0.8748 0.7500 0.3955
0.9930 0.7500 0.8363
0.2293 0.2500 0.9186
0.2707 0.7500 0.4186
0.7293 0.2500 0.5814
0.7707 0.7500 0.0814
0.0028 0.2500 0.8780
0.1574 0.7500 0.5790
0.2059 0.0224 0.3572
0.2059 0.4776 0.3572
0.2941 0.5224 0.8572
0.2941 0.9776 0.8572
0.3426 0.2500 0.0790
0.4972 0.7500 0.3780
0.5028 0.2500 0.6220
0.6574 0.7500 0.9210
0.7059 0.0224 0.1428
0.7059 0.4776 0.1428
0.7941 0.5224 0.6428
0.7941 0.9776 0.6428
0.8426 0.2500 0.4210
0.9972 0.7500 0.1220
```

Results
* calculated total energy: -20.2 eV per formula unit
* symmetry: Pnma